No. 1
Below is a relaxed structure of LiAc2ZrTe5, with properties calculated at the PBE level.

Summary:
The raw total energy comes out at -5.088 eV/atom.

Lattice parameters (Å, degrees): 4.5122 9.8977 13.1193 90.00 90.00 103.18
Last column: nearest neighbours and their distance in Å.
Fractional positions:
1 Te 0.2878 0.5756 0.6628  2 Zr 3.01, 2 Ac 3.37
2 Te 0.6951 0.3902 0.8591  1 Li 2.75, 2 Zr 3.05
3 Te 0.3049 0.6098 0.3591  1 Li 2.75, 2 Zr 3.05
4 Te 0.4973 0.9945 0.7754  1 Li 2.66
5 Te 0.5027 0.0055 0.2754  1 Li 2.66
6 Te 0.6510 0.3021 0.5049  1 Zr 3.07
7 Te 0.7122 0.4244 0.1628  2 Zr 3.01, 2 Ac 3.37
8 Te 0.9523 0.9046 0.5538  2 Li 2.66, 1 Zr 2.79
9 Te 0.3490 0.6979 0.0049  1 Zr 3.07
10 Te 0.0477 0.0954 0.0538  2 Li 2.66, 1 Zr 2.79
11 Zr 0.8102 0.6204 0.5149  6 Te 2.79-3.07
12 Zr 0.1898 0.3796 0.0149  6 Te 2.79-3.07
13 Ac 0.8867 0.7735 0.1949  8 Te 3.35-3.61
14 Ac 0.1133 0.2265 0.6949  8 Te 3.35-3.61
15 Ac 0.1281 0.2561 0.3076  8 Te 3.33-3.67
16 Ac 0.8719 0.7439 0.8076  8 Te 3.33-3.67
17 Li 0.5668 0.1336 0.9505  4 Te 2.66-2.75
18 Li 0.4332 0.8664 0.4505  4 Te 2.66-2.75

=====

No. 2
Below is a relaxed structure of LiAcTh, with properties calculated at the PBE level.

Summary:
Its formation enthalpy at 0 K is 0.6 eV/f.u. The relative energy among the computed polymorphs comes out at 0.025 eV/atom.

Lattice parameters (Å, degrees): 3.6744 3.6744 8.6495 90.00 90.00 120.00
Last column: nearest neighbours and their distance in Å.
Fractional positions:
1 Th 0.0000 0.0000 0.9885  3 Li 3.45, 6 Th 3.67, 3 Ac 3.69
2 Ac 0.6667 0.3333 0.3369  3 Li 3.61, 6 Ac 3.67, 3 Th 3.69
3 Li 0.3333 0.6667 0.6746  3 Th 3.45, 3 Ac 3.61, 6 Li 3.67

=====

No. 3
Below is a relaxed structure of Li4AcTh, with properties calculated at the PBE level.

Summary:
Its formation enthalpy at 0 K is 1.2 eV/f.u.

Lattice parameters (Å, degrees): 6.0302 6.0302 6.0302 60.00 60.00 60.00
Last column: nearest neighbours and their distance in Å.
Fractional positions:
1 Li 0.6239 0.1284 0.6239  6 Li 2.99-3.04
2 Li 0.6239 0.6239 0.6239  6 Li 2.99-3.04
3 Li 0.6239 0.6239 0.1284  6 Li 2.99-3.04
4 Li 0.1284 0.6239 0.6239  6 Li 2.99-3.04
5 Th 0.2500 0.2500 0.2500  12 Li 3.53, 4 Ac 3.69
6 Ac 0.0000 0.0000 0.0000  12 Li 3.54, 4 Th 3.69

=====

No. 4
Below is a relaxed structure of LiAcTh, with properties calculated at the PBE level.

Summary:
Its formation enthalpy at 0 K is 0.6 eV/f.u. The relative energy among the computed polymorphs comes out at 0.000 eV/atom.

Lattice parameters (Å, degrees): 3.8156 3.8156 7.1726 105.43 105.43 90.00
Last column: nearest neighbours and their distance in Å.
Fractional positions:
1 Li 0.6597 0.6597 0.3195  4 Th 3.31, 4 Ac 3.48
2 Th 0.0153 0.0153 0.0306  4 Li 3.31, 4 Ac 3.70
3 Ac 0.3250 0.3250 0.6500  4 Li 3.48, 4 Th 3.70, 4 Ac 3.82

=====

No. 5
Below is a relaxed structure of LiAcTh, with properties calculated at the PBE level.

Summary:
Its formation enthalpy at 0 K is 0.8 eV/f.u. The relative energy among the computed polymorphs comes out at 0.073 eV/atom.

Lattice parameters (Å, degrees): 3.6503 3.6503 18.0239 84.19 84.19 60.00
Last column: nearest neighbours and their distance in Å.
Fractional positions:
1 Th 0.3068 0.3068 0.0796  1 Ac 3.49, 9 Th 3.54-3.65
2 Th 0.6932 0.6932 0.9204  1 Ac 3.49, 9 Th 3.54-3.65
3 Li 0.1459 0.1459 0.5623  3 Li 3.07
4 Li 0.8541 0.8541 0.4377  3 Li 3.07
5 Ac 0.2417 0.2417 0.2748  1 Th 3.49, 3 Li 3.60, 6 Ac 3.65
6 Ac 0.7583 0.7583 0.7252  1 Th 3.49, 3 Li 3.60, 6 Ac 3.65

=====

No. 6
Below is a relaxed structure of LiAcThZn, with properties calculated at the PBE level.

Summary:
Its formation enthalpy at 0 K is 0.2 eV/f.u.

Lattice parameters (Å, degrees): 5.3780 5.3780 5.3780 60.00 60.00 60.00
Last column: nearest neighbours and their distance in Å.
Fractional positions:
1 Ac 0.0000 0.0000 0.0000  4 Zn 3.29, 4 Li 3.29
2 Li 0.7500 0.7500 0.7500  4 Th 3.29, 4 Ac 3.29
3 Zn 0.2500 0.2500 0.2500  4 Ac 3.29, 4 Th 3.29
4 Th 0.5000 0.5000 0.5000  4 Zn 3.29, 4 Li 3.29

=====

Copy entry 4 word for word.
Below is a relaxed structure of LiAcTh, with properties calculated at the PBE level.

Summary:
Its formation enthalpy at 0 K is 0.6 eV/f.u. The relative energy among the computed polymorphs comes out at 0.000 eV/atom.

Lattice parameters (Å, degrees): 3.8156 3.8156 7.1726 105.43 105.43 90.00
Last column: nearest neighbours and their distance in Å.
Fractional positions:
1 Li 0.6597 0.6597 0.3195  4 Th 3.31, 4 Ac 3.48
2 Th 0.0153 0.0153 0.0306  4 Li 3.31, 4 Ac 3.70
3 Ac 0.3250 0.3250 0.6500  4 Li 3.48, 4 Th 3.70, 4 Ac 3.82

=====

> Number 2 is which compound?

LiAcTh